# CeFe3B4O12

A geometry-optimized CeFe3B4O12 structure (PBE+U, Alexandria).

The uncorrected energy comes out at -7.68 eV/atom. For the spin magnetization, the calculation gives 15.6 μB per formula unit.

The structure belongs to space group R32 (No. 155, hexagonal axes); the cell edges are 9.6870, 9.6870 and 7.7447 Å and the angles 90.00°, 90.00° and 120.00°. The distinct sites, in fractional coordinates, are Ce at (0.0000, 0.0000, 0.0000), Fe at (0.0000, 0.5520, 0.0000), B at (0.0000, 0.0000, 0.5000), B at (0.0000, 0.4463, 0.5000), O at (0.0000, 0.5894, 0.5000), O at (0.0000, 0.8566, 0.5000) and O at (0.0258, 0.2142, 0.1832).